No. 1
A relaxed Pr2Sm2CI2Br2Cl crystal. Source: the Open Quantum Materials Database, functional GGA-PBE.

a = 9.575 Å, b = 9.575 Å, c = 8.313 Å
α = 101.29°, β = 101.29°, γ = 23.87°
Fractional coordinates of all 10 atoms:
Pr: 0.138 0.138 0.066
Pr: 0.862 0.862 0.934
Sm: 0.497 0.497 0.207
Sm: 0.503 0.503 0.793
C: 0.000 0.000 0.000
I: 0.336 0.336 0.635
I: 0.664 0.664 0.365
Br: 0.333 0.333 0.187
Br: 0.667 0.667 0.813
Cl: 0.000 0.000 0.500

Calculated values
The crystal system is monoclinic. The value obtained for the calculated total energy is -0.3660 Ry/atom. The energy above the most stable polymorph in this dataset is 23 meV per atom. The total magnetization is 0.15 μB per formula unit.

No. 2
A relaxed NdTmSbI2 crystal. Source: the Open Quantum Materials Database, functional GGA-PBE.

a = 4.372 Å, b = 4.372 Å, c = 11.313 Å
α = 90.00°, β = 90.00°, γ = 120.00°
Fractional coordinates of all 5 atoms:
Nd: 0.000 0.000 0.000
Tm: 0.333 0.667 0.302
Sb: 0.667 0.333 0.161
I: 0.000 0.000 0.470
I: 0.333 0.667 0.820

Calculated values
The crystal system is trigonal. The value obtained for the calculated total energy is -0.3346 Ry/atom. The total magnetization is 0.00 μB per formula unit.

No. 3
A relaxed Tl2CoNiCl6 crystal. Source: the Open Quantum Materials Database, functional GGA-PBE.

a = 6.795 Å, b = 6.795 Å, c = 6.795 Å
α = 60.00°, β = 60.00°, γ = 60.00°
Fractional coordinates of all 10 atoms:
Tl: 0.250 0.250 0.250
Tl: 0.750 0.750 0.750
Co: 0.000 0.000 0.000
Ni: 0.500 0.500 0.500
Cl: 0.250 0.250 0.750
Cl: 0.250 0.750 0.250
Cl: 0.250 0.750 0.750
Cl: 0.750 0.250 0.250
Cl: 0.750 0.250 0.750
Cl: 0.750 0.750 0.250

Calculated values
The crystal system is cubic. The value obtained for the calculated total energy is -0.2607 Ry/atom. The total magnetization is 1.01 μB per formula unit.

No. 4
A relaxed Nb8Zn4C3 crystal. Source: the Open Quantum Materials Database, functional GGA-PBE.

a = 8.498 Å, b = 8.498 Å, c = 8.498 Å
α = 60.00°, β = 60.00°, γ = 60.00°
Fractional coordinates of all 30 atoms:
Nb: 0.000 0.000 0.000
Nb: 0.000 0.000 0.500
Nb: 0.000 0.500 0.000
Nb: 0.185 0.185 0.565
Nb: 0.185 0.565 0.185
Nb: 0.185 0.565 0.565
Nb: 0.435 0.435 0.815
Nb: 0.435 0.815 0.435
Nb: 0.435 0.815 0.815
Nb: 0.500 0.000 0.000
Nb: 0.565 0.185 0.185
Nb: 0.565 0.185 0.565
Nb: 0.565 0.565 0.185
Nb: 0.815 0.435 0.435
Nb: 0.815 0.435 0.815
Nb: 0.815 0.815 0.435
Zn: 0.138 0.787 0.787
Zn: 0.213 0.213 0.213
Zn: 0.213 0.213 0.862
Zn: 0.213 0.862 0.213
Zn: 0.787 0.138 0.787
Zn: 0.787 0.787 0.138
Zn: 0.787 0.787 0.787
Zn: 0.862 0.213 0.213
C: 0.000 0.500 0.500
C: 0.375 0.375 0.375
C: 0.500 0.000 0.500
C: 0.500 0.500 0.000
C: 0.500 0.500 0.500
C: 0.625 0.625 0.625

Calculated values
The crystal system is cubic. The value obtained for the calculated total energy is -0.5660 Ry/atom. The total magnetization is 0.02 μB per formula unit.

No. 5
A relaxed HfCuBiOs crystal. Source: the Open Quantum Materials Database, functional GGA-PBE.

a = 4.650 Å, b = 4.650 Å, c = 4.650 Å
α = 60.00°, β = 60.00°, γ = 60.00°
Fractional coordinates of all 4 atoms:
Hf: 0.000 0.000 0.000
Cu: 0.750 0.750 0.750
Bi: 0.250 0.250 0.250
Os: 0.500 0.500 0.500

Calculated values
The crystal system is cubic. The value obtained for the calculated total energy is -0.5041 Ry/atom. The energy above the most stable polymorph in this dataset is 232 meV per atom. The total magnetization is 0.00 μB per formula unit.

No. 6
A relaxed Er3Al2ZnAu3 crystal. Source: the Open Quantum Materials Database, functional GGA-PBE.

a = 4.071 Å, b = 7.237 Å, c = 7.237 Å
α = 119.35°, β = 90.00°, γ = 90.00°
Fractional coordinates of all 9 atoms:
Er: 0.000 0.000 0.000
Er: 0.000 0.168 0.575
Er: 0.000 0.575 0.168
Al: 0.500 0.583 0.824
Al: 0.500 0.824 0.583
Zn: 0.500 0.331 0.331
Au: 0.000 0.591 0.591
Au: 0.500 0.246 0.904
Au: 0.500 0.904 0.246

Calculated values
The crystal system is orthorhombic. The value obtained for the calculated total energy is -0.3195 Ry/atom. The total magnetization is 0.01 μB per formula unit.

No. 7
A relaxed AlSbAu crystal. Source: the Open Quantum Materials Database, functional GGA-PBE.

a = 4.620 Å, b = 4.620 Å, c = 4.620 Å
α = 60.00°, β = 60.00°, γ = 60.00°
Fractional coordinates of all 3 atoms:
Al: 0.000 0.000 0.000
Sb: 0.500 0.500 0.500
Au: 0.250 0.250 0.250

Calculated values
The crystal system is cubic. The value obtained for the calculated total energy is -0.2761 Ry/atom. The energy above the most stable polymorph in this dataset is 0 meV per atom.

No. 8
A relaxed TbTm2Ge4Pd4 crystal. Source: the Open Quantum Materials Database, functional GGA-PBE.

a = 8.087 Å, b = 8.087 Å, c = 8.087 Å
α = 150.27°, β = 127.73°, γ = 61.29°
Fractional coordinates of all 11 atoms:
Tb: 0.000 0.000 0.000
Tm: 0.374 0.874 0.500
Tm: 0.626 0.126 0.500
Ge: 0.218 0.218 0.000
Ge: 0.313 0.500 0.813
Ge: 0.687 0.500 0.187
Ge: 0.782 0.782 0.000
Pd: 0.027 0.325 0.702
Pd: 0.377 0.675 0.702
Pd: 0.623 0.325 0.298
Pd: 0.973 0.675 0.298

Calculated values
The crystal system is orthorhombic. The value obtained for the calculated total energy is -0.4200 Ry/atom. The total magnetization is 0.01 μB per formula unit.

No. 9
A relaxed ScSiHg2 crystal. Source: the Open Quantum Materials Database, functional GGA-PBE.

a = 4.912 Å, b = 4.912 Å, c = 4.912 Å
α = 60.00°, β = 60.00°, γ = 60.00°
Fractional coordinates of all 4 atoms:
Sc: 0.000 0.000 0.000
Si: 0.750 0.750 0.750
Hg: 0.250 0.250 0.250
Hg: 0.500 0.500 0.500

Calculated values
The crystal system is cubic. The value obtained for the calculated total energy is -0.2234 Ry/atom. The total magnetization is 0.01 μB per formula unit.

No. 10
A relaxed Pr3ZnPt8 crystal. Source: the Open Quantum Materials Database, functional GGA-PBE.

a = 9.492 Å, b = 9.492 Å, c = 9.492 Å
α = 33.66°, β = 33.66°, γ = 33.66°
Fractional coordinates of all 12 atoms:
Pr: 0.000 0.000 0.000
Pr: 0.130 0.130 0.130
Pr: 0.612 0.612 0.612
Zn: 0.482 0.482 0.482
Pt: 0.059 0.059 0.564
Pt: 0.059 0.564 0.059
Pt: 0.060 0.561 0.561
Pt: 0.311 0.311 0.311
Pt: 0.561 0.060 0.561
Pt: 0.561 0.561 0.060
Pt: 0.564 0.059 0.059
Pt: 0.811 0.811 0.811

Calculated values
The crystal system is trigonal. The value obtained for the calculated total energy is -0.4590 Ry/atom. Its energy of formation is -0.91 eV/atom. The total magnetization is 0.00 μB per formula unit.

No. 11
A relaxed DyI4 crystal. Source: the Open Quantum Materials Database, functional GGA-PBE.

a = 7.742 Å, b = 7.742 Å, c = 10.033 Å
α = 93.67°, β = 93.67°, γ = 118.98°
Fractional coordinates of all 10 atoms:
Dy: 0.173 0.827 0.000
Dy: 0.827 0.173 0.000
I: 0.095 0.095 0.822
I: 0.154 0.524 0.182
I: 0.354 0.354 0.561
I: 0.476 0.846 0.818
I: 0.524 0.154 0.182
I: 0.646 0.646 0.439
I: 0.846 0.476 0.818
I: 0.905 0.905 0.178

Calculated values
The crystal system is monoclinic. The value obtained for the calculated total energy is -0.2383 Ry/atom. The total magnetization is 0.00 μB per formula unit.

No. 12
A relaxed Ho2CuSi crystal. Source: the Open Quantum Materials Database, functional GGA-PBE.

a = 4.119 Å, b = 5.620 Å, c = 7.430 Å
α = 90.00°, β = 90.00°, γ = 90.00°
Fractional coordinates of all 8 atoms:
Ho: 0.000 0.118 0.000
Ho: 0.000 0.882 0.500
Ho: 0.500 0.377 0.644
Ho: 0.500 0.623 0.144
Cu: 0.000 0.372 0.357
Cu: 0.000 0.628 0.857
Si: 0.500 0.126 0.286
Si: 0.500 0.874 0.786

Calculated values
The crystal system is orthorhombic. The value obtained for the calculated total energy is -0.3756 Ry/atom. The total magnetization is 0.00 μB per formula unit.

No. 13
A relaxed CdRe2Bi crystal. Source: the Open Quantum Materials Database, functional GGA-PBE.

a = 4.744 Å, b = 4.744 Å, c = 4.744 Å
α = 60.00°, β = 60.00°, γ = 60.00°
Fractional coordinates of all 4 atoms:
Cd: 0.000 0.000 0.000
Re: 0.250 0.250 0.250
Re: 0.500 0.500 0.500
Bi: 0.750 0.750 0.750

Calculated values
The crystal system is cubic. The value obtained for the calculated total energy is -0.4698 Ry/atom. The total magnetization is 0.01 μB per formula unit.

No. 14
A relaxed TaCdCoSb crystal. Source: the Open Quantum Materials Database, functional GGA-PBE.

a = 4.639 Å, b = 4.639 Å, c = 4.639 Å
α = 60.00°, β = 60.00°, γ = 60.00°
Fractional coordinates of all 4 atoms:
Ta: 0.000 0.000 0.000
Cd: 0.750 0.750 0.750
Co: 0.500 0.500 0.500
Sb: 0.250 0.250 0.250

Calculated values
The crystal system is cubic. The value obtained for the calculated total energy is -0.4026 Ry/atom. The energy above the most stable polymorph in this dataset is 0 meV per atom. The total magnetization is 0.40 μB per formula unit.

No. 15
A relaxed LiDyInCu crystal. Source: the Open Quantum Materials Database, functional GGA-PBE.

a = 4.688 Å, b = 4.688 Å, c = 4.688 Å
α = 60.00°, β = 60.00°, γ = 60.00°
Fractional coordinates of all 4 atoms:
Li: 0.000 0.000 0.000
Dy: 0.750 0.750 0.750
In: 0.250 0.250 0.250
Cu: 0.500 0.500 0.500

Calculated values
The crystal system is cubic. The value obtained for the calculated total energy is -0.2648 Ry/atom. The total magnetization is 0.00 μB per formula unit.

No. 16
A relaxed BeAgSO crystal. Source: the Open Quantum Materials Database, functional GGA-PBE.

a = 3.715 Å, b = 3.715 Å, c = 8.268 Å
α = 90.00°, β = 90.00°, γ = 90.00°
Fractional coordinates of all 8 atoms:
Be: 0.250 0.250 0.163
Be: 0.750 0.750 0.837
Ag: 0.250 0.250 0.623
Ag: 0.750 0.750 0.377
S: 0.250 0.750 0.000
S: 0.750 0.250 0.000
O: 0.250 0.250 0.338
O: 0.750 0.750 0.662

Calculated values
The crystal system is tetragonal. The value obtained for the calculated total energy is -0.3185 Ry/atom. The energy above the most stable polymorph in this dataset is 752 meV per atom.

No. 17
A relaxed Tb2ErIn3CuPd2 crystal. Source: the Open Quantum Materials Database, functional GGA-PBE.

a = 3.851 Å, b = 7.658 Å, c = 7.658 Å
α = 119.90°, β = 90.00°, γ = 90.00°
Fractional coordinates of all 9 atoms:
Tb: 0.000 0.205 0.795
Tb: 0.000 0.795 0.205
Er: 0.000 0.386 0.386
In: 0.500 0.047 0.047
In: 0.500 0.543 0.794
In: 0.500 0.794 0.543
Cu: 0.000 0.794 0.794
Pd: 0.500 0.130 0.461
Pd: 0.500 0.461 0.130

Calculated values
The crystal system is orthorhombic. The value obtained for the calculated total energy is -0.3465 Ry/atom. The total magnetization is 0.01 μB per formula unit.

No. 18
A relaxed Pr4BBr5 crystal. Source: the Open Quantum Materials Database, functional GGA-PBE.

a = 9.593 Å, b = 9.593 Å, c = 8.546 Å
α = 103.02°, β = 103.02°, γ = 24.73°
Fractional coordinates of all 10 atoms:
Pr: 0.001 0.001 0.286
Pr: 0.355 0.355 0.421
Pr: 0.645 0.645 0.579
Pr: 0.999 0.999 0.714
B: 0.500 0.500 0.500
Br: 0.164 0.164 0.841
Br: 0.170 0.170 0.333
Br: 0.500 0.500 0.000
Br: 0.830 0.830 0.667
Br: 0.836 0.836 0.159

Calculated values
The crystal system is monoclinic. The value obtained for the calculated total energy is -0.3543 Ry/atom. The total magnetization is 0.00 μB per formula unit.

No. 19
A relaxed In4Cu crystal. Source: the Open Quantum Materials Database, functional GGA-PBE.

a = 6.923 Å, b = 6.923 Å, c = 6.923 Å
α = 103.84°, β = 103.84°, γ = 121.44°
Fractional coordinates of all 10 atoms:
In: 0.224 0.278 0.554
In: 0.224 0.670 0.946
In: 0.278 0.224 0.054
In: 0.330 0.776 0.554
In: 0.670 0.224 0.446
In: 0.722 0.776 0.946
In: 0.776 0.330 0.054
In: 0.776 0.722 0.446
Cu: 0.125 0.875 0.250
Cu: 0.875 0.125 0.750

Calculated values
The crystal system is tetragonal. The value obtained for the calculated total energy is -0.2106 Ry/atom. The energy above the most stable polymorph in this dataset is 39 meV per atom.

No. 20
A relaxed BaSrCdAsP crystal. Source: the Open Quantum Materials Database, functional GGA-PBE.

a = 8.662 Å, b = 8.662 Å, c = 8.046 Å
α = 90.00°, β = 90.00°, γ = 150.08°
Fractional coordinates of all 10 atoms:
Ba: 0.045 0.955 0.500
Ba: 0.955 0.045 0.000
Sr: 0.208 0.792 0.858
Sr: 0.792 0.208 0.358
Cd: 0.399 0.601 0.647
Cd: 0.601 0.399 0.147
As: 0.434 0.566 0.303
As: 0.566 0.434 0.803
P: 0.179 0.821 0.229
P: 0.821 0.179 0.729

Calculated values
The crystal system is orthorhombic. The value obtained for the calculated total energy is -0.2805 Ry/atom. The energy above the most stable polymorph in this dataset is 46 meV per atom.

No. 21
A relaxed CsLiU crystal. Source: the Open Quantum Materials Database, functional GGA-PBE.

a = 5.153 Å, b = 5.153 Å, c = 5.153 Å
α = 60.00°, β = 60.00°, γ = 60.00°
Fractional coordinates of all 3 atoms:
Cs: 0.000 0.000 0.000
Li: 0.750 0.750 0.750
U: 0.250 0.250 0.250

Calculated values
The crystal system is cubic. The value obtained for the calculated total energy is -0.2057 Ry/atom. The energy above the most stable polymorph in this dataset is 146 meV per atom. The total magnetization is 4.05 μB per formula unit.

No. 22
A relaxed NbI4Br crystal. Source: the Open Quantum Materials Database, functional GGA-PBE.

a = 7.345 Å, b = 7.889 Å, c = 10.441 Å
α = 110.11°, β = 91.06°, γ = 116.05°
Fractional coordinates of all 12 atoms:
Nb: 0.102 0.212 0.213
Nb: 0.898 0.788 0.787
I: 0.073 0.819 0.569
I: 0.125 0.626 0.854
I: 0.306 0.006 0.245
I: 0.444 0.574 0.324
I: 0.556 0.426 0.676
I: 0.694 0.994 0.755
I: 0.875 0.374 0.146
I: 0.927 0.181 0.431
Br: 0.213 0.165 0.958
Br: 0.787 0.835 0.042

Calculated values
The crystal system is triclinic. The value obtained for the calculated total energy is -0.2561 Ry/atom. The energy above the most stable polymorph in this dataset is 3 meV per atom. The total magnetization is 0.01 μB per formula unit.

No. 23
A relaxed NdLuSn crystal. Source: the Open Quantum Materials Database, functional GGA-PBE.

a = 5.167 Å, b = 5.167 Å, c = 5.167 Å
α = 60.00°, β = 60.00°, γ = 60.00°
Fractional coordinates of all 3 atoms:
Nd: 0.000 0.000 0.000
Lu: 0.500 0.500 0.500
Sn: 0.750 0.750 0.750

Calculated values
The crystal system is cubic. The value obtained for the calculated total energy is -0.3524 Ry/atom. The energy above the most stable polymorph in this dataset is 0 meV per atom. The total magnetization is 0.01 μB per formula unit.